Record 1
This record from Alexandria describes an optimized crystal structure of Ac2SmAu6. The functional is GGA-PBE.

Cell and atoms, written as POSCAR:
```
Ac2SmAu6
1.0
3.776 0.000 0.000
0.000 7.238 -4.179
0.000 0.000 8.358
Ac Sm Au
2 1 6
direct
0.000 0.333 0.667
0.000 0.667 0.333
0.000 0.000 0.000
0.500 0.330 0.330
0.500 0.670 0.670
0.500 0.000 0.670
0.500 0.670 0.000
0.500 0.330 0.000
0.500 0.000 0.330
```

Calculated values
Energy above the most stable polymorph in this dataset (meV/atom): 0
Energy (eV/atom): -4.4077
Space-group type: P6/mmm (191)
Energy of formation (eV/atom): -0.785



Record 2
This record from Alexandria describes an optimized crystal structure of BaAsOs2. The functional is GGA-PBE.

Cell and atoms, written as POSCAR:
```
BaAsOs2
1.0
5.191 0.000 0.000
-2.584 5.588 0.005
0.023 0.734 2.773
As Os Ba
1 2 1
direct
0.000 0.500 0.500
0.000 0.000 0.000
0.500 0.000 0.500
0.500 0.500 0.000
```

Calculated values
Energy (eV/atom): -6.0685
Space-group type: C2/m (12)
Energy of formation (eV/atom): 1.189



What is the energy of formation in the first record? -0.785 eV/atom



Among the records above, which one has the highest energy of formation? BaAsOs2



Among the records above, which one has the lowest energy? BaAsOs2